The following is a DFT calculation (GGA-PBE) of a geometry-optimized NaCaI2O8 structure.

Cell: 6.376 6.376 6.376 Å, 106.45 106.45 115.70°
Positions (direct):
I (0.750, 0.250, 0.500)
O (0.391, 0.079, 0.311)
O (0.856, 0.675, 0.182)
I (0.500, 0.500, 0.000)
Ca (0.000, 0.000, 0.000)
O (0.325, 0.507, 0.182)
O (0.768, 0.079, 0.689)
O (0.921, 0.232, 0.311)
O (0.493, 0.675, 0.818)
O (0.325, 0.144, 0.818)
O (0.921, 0.609, 0.689)
Na (0.250, 0.750, 0.500)

Energy relative to the elements, uncorrected ... -0.84 eV per atom


The following is a DFT calculation (GGA-PBE) of a geometry-optimized MgZnRu structure.

Cell: 4.954 4.954 4.954 Å, 141.80 141.80 55.13°
Positions (direct):
Mg (0.995, 0.995, 0.000)
Ru (0.322, 0.322, 0.000)
Zn (0.683, 0.683, 0.000)

DFT total energy ... -4.06 eV/atom